Record 1
Here is a geometry-optimized MgNi2H2 structure from the Open Quantum Materials Database. Energies are from PBE-GGA.

```
MgNi2H2
1.0
0.0000 4.0231 4.4097
2.4296 0.0000 4.4097
2.4296 4.0231 0.0000
Mg Ni H
2 4 4
Cartesian
0.6074 1.0058 1.1024 Mg
4.2517 7.0403 7.7170 Mg
1.8222 1.7325 3.3073 Ni
3.0370 3.7440 5.5121 Ni
1.8222 4.3021 3.3073 Ni
3.0370 6.3136 5.5121 Ni
1.8222 3.0173 2.0688 H
3.0370 5.0288 4.2737 H
1.8222 3.0173 4.5458 H
3.0370 5.0288 6.7506 H
```

Summary:
Space group = Fddd (70)
Final energy = -4.091 eV/atom
Calculated density = 5.54 g cm⁻³

=====

Record 2
Here is a geometry-optimized Cu7Ag3 structure from the Open Quantum Materials Database. Energies are from PBE-GGA.

```
Cu7Ag3
1.0
4.6220 0.0000 0.0000
0.0000 2.7280 0.0000
-1.2741 0.0000 10.9238
Cu Ag
7 3
Cartesian
0.0000 0.0000 0.0000 Cu
0.1838 0.0000 6.4247 Cu
0.9225 1.3640 4.4239 Cu
1.6131 0.0000 2.3393 Cu
1.7349 0.0000 8.5845 Cu
2.4254 1.3640 6.4999 Cu
3.1641 0.0000 4.4992 Cu
-0.5940 1.3640 8.6402 Ag
2.3110 1.3640 0.0000 Ag
3.9420 1.3640 2.2836 Ag
```

Summary:
Space group = P2/m (10)
Final energy = -3.361 eV/atom
Calculated density = 9.26 g cm⁻³
ΔH_f (0 K) = 0.0880 eV per atom

=====

Record 3
Here is a geometry-optimized Ba2CuTe2F2 structure from the Open Quantum Materials Database. Energies are from PBE-GGA.

```
Ba2CuTe2F2
1.0
4.4725 0.0000 0.0000
0.0000 4.4725 0.0000
0.0000 0.0000 8.9138
Ba Cu Te F
2 1 2 2
Cartesian
0.0000 2.2362 1.4760 Ba
2.2362 0.0000 7.4378 Ba
0.0000 0.0000 4.4569 Cu
0.0000 2.2362 5.7537 Te
2.2362 0.0000 3.1601 Te
0.0000 0.0000 0.0000 F
2.2362 2.2362 0.0000 F
```

Summary:
Space group = P-4m2 (115)
Final energy = -4.656 eV/atom
Calculated density = 5.88 g cm⁻³

=====

Record 4
Here is a geometry-optimized LiPaSn structure from the Open Quantum Materials Database. Energies are from PBE-GGA.

```
LiPaSn
1.0
6.5496 0.0000 0.0000
0.0000 6.5496 0.0000
0.0000 0.0000 6.5496
Li Pa Sn
4 4 4
Cartesian
0.0000 0.0000 0.0000 Li
0.0000 3.2748 3.2748 Li
3.2748 0.0000 3.2748 Li
3.2748 3.2748 0.0000 Li
1.6374 1.6374 4.9122 Pa
1.6374 4.9122 1.6374 Pa
4.9122 1.6374 1.6374 Pa
4.9122 4.9122 4.9122 Pa
1.6374 1.6374 1.6374 Sn
1.6374 4.9122 4.9122 Sn
4.9122 1.6374 4.9122 Sn
4.9122 4.9122 1.6374 Sn
```

Summary:
Space group = F-43m (216)
Final energy = -5.000 eV/atom
Calculated density = 8.43 g cm⁻³

=====

Record 5
Here is a geometry-optimized RbAlPd structure from the Open Quantum Materials Database. Energies are from PBE-GGA.

```
RbAlPd
1.0
7.0284 0.0000 0.0000
0.0000 7.0284 0.0000
0.0000 0.0000 7.0284
Rb Al Pd
4 4 4
Cartesian
0.0000 0.0000 0.0000 Rb
0.0000 3.5142 3.5142 Rb
3.5142 0.0000 3.5142 Rb
3.5142 3.5142 0.0000 Rb
1.7571 1.7571 5.2713 Al
1.7571 5.2713 1.7571 Al
5.2713 1.7571 1.7571 Al
5.2713 5.2713 5.2713 Al
0.0000 0.0000 3.5142 Pd
0.0000 3.5142 0.0000 Pd
3.5142 0.0000 0.0000 Pd
3.5142 3.5142 3.5142 Pd
```

Summary:
Space group = F-43m (216)
Final energy = -2.772 eV/atom
Calculated density = 4.19 g cm⁻³

=====

Record 6
Here is a geometry-optimized AlFeAgHg structure from the Open Quantum Materials Database. Energies are from PBE-GGA.

```
AlFeAgHg
1.0
6.4440 0.0000 0.0000
0.0000 6.4440 0.0000
0.0000 0.0000 6.4440
Al Fe Ag Hg
4 4 4 4
Cartesian
0.0000 0.0000 0.0000 Al
0.0000 3.2220 3.2220 Al
3.2220 0.0000 3.2220 Al
3.2220 3.2220 0.0000 Al
1.6110 1.6110 1.6110 Fe
1.6110 4.8330 4.8330 Fe
4.8330 1.6110 4.8330 Fe
4.8330 4.8330 1.6110 Fe
0.0000 0.0000 3.2220 Ag
0.0000 3.2220 0.0000 Ag
3.2220 0.0000 0.0000 Ag
3.2220 3.2220 3.2220 Ag
1.6110 1.6110 4.8330 Hg
1.6110 4.8330 1.6110 Hg
4.8330 1.6110 1.6110 Hg
4.8330 4.8330 4.8330 Hg
```

Summary:
Space group = F-43m (216)
Final energy = -3.490 eV/atom
Calculated density = 9.71 g cm⁻³